Record 1
First-principles (PBE-GGA) data for TeOs2Ru after structural relaxation, as listed in Alexandria via LeMat-Bulk.

It has space group C2/m (No. 12), with a = 9.579 Å, b = 2.933 Å, c = 4.632 Å, α = 90.00°, β = 94.13° and γ = 90.00°. The asymmetric unit holds Te at (0.000, 0.000, 0.000), Os at (0.228, 0.000, 0.725) and Ru at (0.000, 0.500, 0.500).

As for the crystal system: monoclinic. The uncorrected formation energy comes out at 0.599 eV/atom. The size of the total moment comes out at 0.0 μB/f.u.

***

Record 2
First-principles (PBE-GGA) data for TeOs2Ru after structural relaxation, as listed in Alexandria via LeMat-Bulk.

It has space group Pmmm (No. 47), with a = 2.900 Å, b = 4.659 Å, c = 4.776 Å, α = 90.00°, β = 90.00° and γ = 90.00°. The asymmetric unit holds Te at (0.000, 0.000, 0.000), Os at (0.000, 0.500, 0.500), Os at (0.500, 0.000, 0.500) and Ru at (0.500, 0.500, 0.000).

As for the crystal system: orthorhombic. The uncorrected formation energy comes out at 0.815 eV/atom. The size of the total moment comes out at 0.7 μB/f.u.

***

Record 3
First-principles (PBE-GGA) data for Te2OsRu after structural relaxation, as listed in Alexandria via LeMat-Bulk.

It has space group R-3m (No. 166, hexagonal axes), with a = 3.2530 Å, b = 3.2530 Å, c = 24.3427 Å, α = 90.00°, β = 90.00° and γ = 120.00°. The asymmetric unit holds Te at (0.0000, 0.0000, 0.2492), Os at (0.0000, 0.0000, 0.0000) and Ru at (0.0000, 0.0000, 0.5000).

The value obtained for the relative energy among the computed polymorphs is 1.086 eV per formula unit. As for the crystal system: trigonal. The uncorrected formation energy comes out at 0.567 eV/atom. The size of the total moment comes out at 0.0 μB/f.u.